Material: LuMn4Cu3O12
Method: DFT, PBE+U
State: relaxed

Its total DFT energy (no corrections) is -6.724 eV per atom. The calculation puts the calculated density at 6.41 g/cm3.

It has space group Im-3 (No. 204), with a = 7.3860 Å, b = 7.3860 Å, c = 7.3860 Å, α = 90.00°, β = 90.00° and γ = 90.00°. The inequivalent atoms are Lu at (0.0000, 0.0000, 0.0000), Mn at (0.2500, 0.2500, 0.2500), Cu at (0.0000, 0.0000, 0.5000) and O at (0.0000, 0.1686, 0.3004).